Below is a relaxed Hf2HgMoH crystal, with properties calculated at the PBE level.

Cell: 4.575 4.575 3.813 Å, 90.00 90.00 90.00°
Fractional coordinates of all 5 atoms:
Hg1 0.500 0.500 0.500
Hf1 0.000 0.500 0.000
Hf2 0.500 0.000 0.000
H1 0.000 0.000 0.000
Mo1 0.000 0.000 0.500

Properties
D(E_F) ... 0.40 states/eV/atom
Size of the total moment ... 0.00 μB/cell
Electronic total energy ... -34.97 eV per cell

---

Below is a relaxed NaEuH2 crystal, with properties calculated at the PBE level.

Cell: 3.843 3.843 6.762 Å, 73.49 73.49 60.00°
Fractional coordinates of all 4 atoms:
Eu1 0.500 0.500 0.500
H1 0.880 0.880 0.361
H2 0.120 0.120 0.639
Na1 0.000 0.000 0.000

Properties
D(E_F) ... 1.81 states/eV/atom
Size of the total moment ... 7.40 μB/cell
Electronic total energy ... -19.44 eV per cell